No. 1
The following is a PBE calculation of crystalline Ce11Zn4In9 at its relaxed geometry, from Alexandria.

## Properties
Energy of formation from the pure elements (meV/atom): -315
Volume (Å³/cell): 1248
Total DFT energy (no corrections) (eV/atom): -4.274

Unit cell a=15.5234 b=22.4807 c=3.5768 alpha=90.00 beta=90.00 gamma=90.00
Space group Cmmm (No. 65)
Asymmetric unit:
1 Ce 0.0000 0.0000 0.0000 [2 per cell]
2 Ce 0.0000 0.1520 0.0000 [4 per cell]
3 Ce 0.0000 0.3728 0.0000 [4 per cell]
4 Ce 0.1939 0.5000 0.0000 [4 per cell]
5 Ce 0.2367 0.1881 0.0000 [8 per cell]
6 Zn 0.1562 0.3942 0.5000 [8 per cell]
7 In 0.0000 0.5000 0.5000 [2 per cell]
8 In 0.0968 0.2645 0.5000 [8 per cell]
9 In 0.1507 0.0734 0.5000 [8 per cell]

=====

No. 2
The following is a PBE calculation of crystalline KScSb2I at its relaxed geometry, from Alexandria.

## Properties
Energy relative to the elements, uncorrected (eV/atom): -0.46
Volume (Å³/cell): 189
Total DFT energy (no corrections) (eV/atom): -3.907

Unit cell a=5.5459 b=5.5459 c=6.1391 alpha=90.00 beta=90.00 gamma=90.00
Space group P4/mmm (No. 123)
Asymmetric unit:
1 K 0.0000 0.0000 0.0000 [1 per cell]
2 Sc 0.5000 0.5000 0.5000 [1 per cell]
3 Sb 0.0000 0.5000 0.5000 [2 per cell]
4 I 0.5000 0.5000 0.0000 [1 per cell]

=====

No. 3
The following is a PBE calculation of crystalline K2MgTeS4 at its relaxed geometry, from Alexandria.

## Properties
Energy relative to the elements, uncorrected (eV/atom): -0.80
Volume (Å³/cell): 783
Total DFT energy (no corrections) (eV/atom): -3.726

Unit cell a=8.1441 b=8.2825 c=11.6128 alpha=90.00 beta=90.00 gamma=90.00
Space group Imma (No. 74)
Asymmetric unit:
1 K 0.0000 0.0000 0.0000 [4 per cell]
2 K 0.2500 0.2500 0.2500 [4 per cell]
3 Mg 0.0000 0.0000 0.5000 [4 per cell]
4 Te 0.2500 0.2500 0.7500 [4 per cell]
5 S 0.0000 0.0306 0.7341 [8 per cell]
6 S 0.2149 0.2500 0.5174 [8 per cell]

=====

Repeat the first record exactly.
The following is a PBE calculation of crystalline Ce11Zn4In9 at its relaxed geometry, from Alexandria.

## Properties
Energy of formation from the pure elements (meV/atom): -315
Volume (Å³/cell): 1248
Total DFT energy (no corrections) (eV/atom): -4.274

Unit cell a=15.5234 b=22.4807 c=3.5768 alpha=90.00 beta=90.00 gamma=90.00
Space group Cmmm (No. 65)
Asymmetric unit:
1 Ce 0.0000 0.0000 0.0000 [2 per cell]
2 Ce 0.0000 0.1520 0.0000 [4 per cell]
3 Ce 0.0000 0.3728 0.0000 [4 per cell]
4 Ce 0.1939 0.5000 0.0000 [4 per cell]
5 Ce 0.2367 0.1881 0.0000 [8 per cell]
6 Zn 0.1562 0.3942 0.5000 [8 per cell]
7 In 0.0000 0.5000 0.5000 [2 per cell]
8 In 0.0968 0.2645 0.5000 [8 per cell]
9 In 0.1507 0.0734 0.5000 [8 per cell]